## TbPaBi2 (PBE-GGA)

Data for a geometry-optimized TbPaBi2 structure. Values from VASP.

Quantum ESPRESSO input file:
```
&SYSTEM
  ibrav = 0, nat = 4, ntyp = 3
/
ATOMIC_SPECIES
Tb 158.93 Tb.upf
Pa 231.04 Pa.upf
Bi 208.98 Bi.upf
CELL_PARAMETERS angstrom
0.0000 3.8578 3.8578
3.8578 0.0000 3.8578
3.8578 3.8578 0.0000
ATOMIC_POSITIONS crystal
Tb 0.0000 0.0000 0.0000
Pa 0.5000 0.5000 0.5000
Bi 0.2500 0.2500 0.2500
Bi 0.7500 0.7500 0.7500
```

The value obtained for the energy is -23.24 eV per formula unit. As for the space group: Fm-3m, No. 225. The calculation puts the formation energy at -0.3390 eV/atom.